(1)
# SrLa2Cl

SrLa2Cl after structural relaxation (PBE, the Alexandria database).

Cell lengths 4.2607, 4.2607, 29.4733 Å; angles 90.00, 90.00, 120.00 degrees
Space group R-3m (No. 166, hexagonal axes)
Inequivalent atoms, fractional coordinates:
Sr 0.0000 0.0000 0.0000 x3
La 0.0000 0.0000 0.2184 x6
Cl 0.0000 0.0000 0.5000 x3

Formation energy without anion corrections in kJ/mol of atoms: -61.56
Distance to the lowest polymorph of the same formula in meV/atom: 40.1
DOS(E_F) in states/eV/atom: 1.647

***

(2)
# CeNdSc2Tl4

CeNdSc2Tl4 after structural relaxation (PBE, the Alexandria database).

Cell lengths 5.3224, 5.3224, 26.1633 Å; angles 90.00, 90.00, 120.00 degrees
Space group R-3m (No. 166, hexagonal axes)
Inequivalent atoms, fractional coordinates:
Ce 0.0000 0.0000 0.0000 x3
Nd 0.0000 0.0000 0.5000 x3
Sc 0.0000 0.0000 0.2500 x6
Tl 0.0000 0.0000 0.1248 x6
Tl 0.0000 0.0000 0.3750 x6

Energy of formation in eV per atom: -0.272
DOS(E_F) in states/eV/atom: 1.447